No. 1
Density functional theory data (GGA-PBE) for a relaxed Mn2Sb crystal.

a b c (Å): 5.2723 5.2723 6.3089
angles (deg): 69.02 69.02 38.75
Site moments in Bohr magnetons follow the coordinates.
Fractional positions:
Sb  0.3299  0.3299  0.6467  -0.11
Mn  0.0179  0.0179  0.7360  3.13
Mn  0.6432  0.6432  0.9414  3.09
Sb  0.6701  0.6701  0.3533  -0.11
Mn  0.3568  0.3568  0.0586  3.09
Mn  0.9821  0.9821  0.2640  3.13

Computed properties:
Final energy ... -43.51 eV/cell
Density of states at the Fermi level ... 0.60 states/eV/atom

***

No. 2
Density functional theory data (GGA-PBE) for a relaxed Ca2CrSe crystal.

a b c (Å): 5.2738 5.2738 5.2738
angles (deg): 60.00 60.00 60.00
Site moments in Bohr magnetons follow the coordinates.
Fractional positions:
Se  0.7500  0.7500  0.7500  0.04
Ca  0.2500  0.2500  0.2500  0.03
Cr  0.5000  0.5000  0.5000  3.91
Ca  0.0000  0.0000  0.0000  -0.03

Computed properties:
Final energy ... -16.65 eV/cell
Density of states at the Fermi level ... 0.92 states/eV/atom

***

No. 3
Density functional theory data (GGA-PBE) for a relaxed BaPtW crystal.

a b c (Å): 5.3562 4.4557 6.6069
angles (deg): 89.99 90.02 90.00
Fractional positions:
W  0.7893  0.3295  0.9939
W  0.2893  0.3295  0.0535
Ba  0.7896  0.3292  0.4633
Ba  0.2897  0.8293  0.6572
Pt  0.0383  0.8294  0.1339
Pt  0.5404  0.8294  0.1340

Computed properties:
Density of states at the Fermi level ... 1.14 states/eV/atom
Relative energy among the computed polymorphs ... 144 meV per atom
Formation energy from the elements ... 184 meV per atom

***

No. 4
Density functional theory data (GGA-PBE) for a relaxed BaNaI3 crystal.

a b c (Å): 5.4330 8.7463 16.1758
angles (deg): 130.53 90.00 90.00
Fractional positions:
I  0.7500  0.6601  0.6346
Ba  0.7500  0.6530  0.4094
I  0.7500  0.1655  0.6415
I  0.2500  0.7106  0.8822
I  0.2500  0.3399  0.3654
I  0.7500  0.2894  0.1178
Na  0.2500  0.1210  0.1190
I  0.2500  0.8345  0.3585
Ba  0.2500  0.3470  0.5906
Na  0.7500  0.8790  0.8810

Computed properties:
Final energy ... -31.18 eV/cell
Density of states at the Fermi level ... 0.00 states/eV/atom

***

No. 5
Density functional theory data (GGA-PBE) for a relaxed Pr2InSn3Ir4 crystal.

a b c (Å): 4.4526 4.4526 11.1147
angles (deg): 90.00 90.00 90.00
Fractional positions:
Ir  0.5000  0.5000  0.0000
Ir  0.5000  0.0000  0.6374
Ir  0.0000  0.0000  0.0000
Pr  0.0000  0.5000  0.7526
Sn  0.0000  0.0000  0.5000
Sn  0.5000  0.0000  0.8701
Pr  0.5000  0.0000  0.2474
In  0.5000  0.5000  0.5000
Sn  0.0000  0.5000  0.1299
Ir  0.0000  0.5000  0.3626

Computed properties:
Density of states at the Fermi level ... 0.75 states/eV/atom
Formation energy from the elements ... -514 meV per atom

***

No. 6
Density functional theory data (GGA-PBE) for a relaxed K2HgRu crystal.

a b c (Å): 5.4564 4.2914 4.2914
angles (deg): 90.00 90.00 90.00
Site moments in Bohr magnetons follow the coordinates.
Fractional positions:
Ru  0.5000  0.5000  0.0000  0.80
K  0.0000  0.5000  0.5000  -0.01
K  0.0000  0.0000  0.0000  -0.01
Hg  0.5000  0.0000  0.5000  -0.04

Computed properties:
Density of states at the Fermi level ... 1.18 states/eV/atom
Formation energy from the elements ... 811 meV per atom

***

No. 7
Density functional theory data (GGA-PBE) for a relaxed Nd12Y7Mg crystal.

a b c (Å): 9.4230 9.4230 9.4230
angles (deg): 107.67 107.67 107.67
Fractional positions:
Nd  0.9412  0.7052  0.5998
Y  0.0077  0.8943  0.3165
Nd  0.3244  0.6174  0.7787
Y  0.9923  0.1057  0.6835
Nd  0.3826  0.2213  0.6756
Y  0.3165  0.0077  0.8943
Nd  0.4002  0.0588  0.2948
Nd  0.5998  0.9412  0.7052
Nd  0.6174  0.7787  0.3244
Nd  0.2948  0.4002  0.0588
Mg  0.0000  0.0000  0.0000
Y  0.5000  0.5000  0.5000
Nd  0.7787  0.3244  0.6174
Nd  0.6756  0.3826  0.2213
Y  0.8943  0.3165  0.0077
Nd  0.2213  0.6756  0.3826
Y  0.1057  0.6835  0.9923
Nd  0.0588  0.2948  0.4002
Y  0.6835  0.9923  0.1057
Nd  0.7052  0.5998  0.9412

Computed properties:
Density of states at the Fermi level ... 1.87 states/eV/atom
Relative energy among the computed polymorphs ... 0 meV per atom
Formation energy from the elements ... 140 meV per atom

***

No. 8
Density functional theory data (GGA-PBE) for a relaxed Sr2Li12Mg5 crystal.

a b c (Å): 7.8290 7.8290 7.8290
angles (deg): 82.75 82.75 82.75
Fractional positions:
Mg  0.5000  0.0000  0.0000
Li  0.0000  0.2872  0.7128
Li  0.1445  0.6527  0.6527
Mg  0.1026  0.1026  0.1026
Mg  0.0000  0.0000  0.5000
Li  0.6527  0.6527  0.1445
Mg  0.0000  0.5000  0.0000
Li  0.3473  0.8555  0.3473
Li  0.8555  0.3473  0.3473
Li  0.2872  0.7128  0.0000
Sr  0.6573  0.6573  0.6573
Li  0.0000  0.7128  0.2872
Sr  0.3427  0.3427  0.3427
Li  0.7128  0.2872  0.0000
Mg  0.8974  0.8974  0.8974
Li  0.7128  0.0000  0.2872
Li  0.6527  0.1445  0.6527
Li  0.3473  0.3473  0.8555
Li  0.2872  0.0000  0.7128

Computed properties:
Density of states at the Fermi level ... 0.41 states/eV/atom
Formation energy from the elements ... -17 meV per atom

***

No. 9
Density functional theory data (GGA-PBE) for a relaxed Ho2TmSi2 crystal.

a b c (Å): 4.1987 7.4024 7.4024
angles (deg): 90.00 90.00 90.00
Fractional positions:
Si  0.5000  0.8824  0.1176
Tm  0.5000  0.5000  0.0000
Si  0.5000  0.6176  0.6176
Ho  0.0000  0.8240  0.8240
Si  0.5000  0.3824  0.3824
Ho  0.0000  0.1760  0.1760
Si  0.5000  0.1176  0.8824
Ho  0.0000  0.6760  0.3240
Tm  0.5000  0.0000  0.5000
Ho  0.0000  0.3240  0.6760

Computed properties:
Final energy ... -56.14 eV/cell
Density of states at the Fermi level ... 0.80 states/eV/atom

***

No. 10
Density functional theory data (GGA-PBE) for a relaxed Rb2AsIrI6 crystal.

a b c (Å): 8.0733 8.0733 8.1062
angles (deg): 60.13 60.13 90.00
Fractional positions:
I  0.2405  0.2405  0.0000
Rb  0.2500  0.7500  0.5000
I  0.2393  0.2393  0.5213
I  0.7607  0.7607  0.4787
I  0.7595  0.2405  0.0000
Rb  0.7500  0.2500  0.5000
As  0.5000  0.5000  0.0000
Ir  0.0000  0.0000  0.0000
I  0.7595  0.7595  0.0000
I  0.2405  0.7595  0.0000

Computed properties:
Final energy ... -29.56 eV/cell
Density of states at the Fermi level ... 0.40 states/eV/atom

***

Copy entry 3 word for word.
Density functional theory data (GGA-PBE) for a relaxed BaPtW crystal.

a b c (Å): 5.3562 4.4557 6.6069
angles (deg): 89.99 90.02 90.00
Fractional positions:
W  0.7893  0.3295  0.9939
W  0.2893  0.3295  0.0535
Ba  0.7896  0.3292  0.4633
Ba  0.2897  0.8293  0.6572
Pt  0.0383  0.8294  0.1339
Pt  0.5404  0.8294  0.1340

Computed properties:
Density of states at the Fermi level ... 1.14 states/eV/atom
Relative energy among the computed polymorphs ... 144 meV per atom
Formation energy from the elements ... 184 meV per atom

***

Repeat the fifth record exactly.
Density functional theory data (GGA-PBE) for a relaxed Pr2InSn3Ir4 crystal.

a b c (Å): 4.4526 4.4526 11.1147
angles (deg): 90.00 90.00 90.00
Fractional positions:
Ir  0.5000  0.5000  0.0000
Ir  0.5000  0.0000  0.6374
Ir  0.0000  0.0000  0.0000
Pr  0.0000  0.5000  0.7526
Sn  0.0000  0.0000  0.5000
Sn  0.5000  0.0000  0.8701
Pr  0.5000  0.0000  0.2474
In  0.5000  0.5000  0.5000
Sn  0.0000  0.5000  0.1299
Ir  0.0000  0.5000  0.3626

Computed properties:
Density of states at the Fermi level ... 0.75 states/eV/atom
Formation energy from the elements ... -514 meV per atom